Material: Cd2NiAg
Method: DFT, PBE-GGA
State: relaxed

Output
- total DFT energy (no corrections) (eV/atom) = -2.56
- ΔE_f (meV/atom) = 60
- N(E_F) (states/eV per cell) = 2.777
- M_tot (μB/cell) = 0.00
- space-group type = No. 65

Lattice parameters (Å, degrees): 6.201 7.302 3.088 90.00 90.00 90.00
Positions (direct):
Cd  0.250  0.250  0.000
Cd  0.250  0.750  0.000
Cd  0.750  0.250  0.000
Cd  0.750  0.750  0.000
Ni  0.000  0.000  0.500
Ni  0.500  0.500  0.500
Ag  0.000  0.500  0.500
Ag  0.500  0.000  0.500

Material: PuZrMnFe
Method: DFT, PBE-GGA
State: relaxed

Output
- total DFT energy (no corrections) (eV/atom) = -10.10
- ΔE_f (meV/atom) = 24
- N(E_F) (states/eV per cell) = 19.047
- M_tot (μB/cell) = 8.83
- space-group type = No. 216

Lattice parameters (Å, degrees): 6.508 6.508 6.508 90.00 90.00 90.00
Positions (direct):
Pu  0.000  0.000  0.000
Pu  0.000  0.500  0.500
Pu  0.500  0.000  0.500
Pu  0.500  0.500  0.000
Zr  0.000  0.000  0.500
Zr  0.000  0.500  0.000
Zr  0.500  0.000  0.000
Zr  0.500  0.500  0.500
Mn  0.250  0.250  0.750
Mn  0.250  0.750  0.250
Mn  0.750  0.250  0.250
Mn  0.750  0.750  0.750
Fe  0.250  0.250  0.250
Fe  0.250  0.750  0.750
Fe  0.750  0.250  0.750
Fe  0.750  0.750  0.250

Material: NaUI5
Method: DFT, PBE-GGA
State: relaxed

Output
- total DFT energy (no corrections) (eV/atom) = -3.81
- N(E_F) (states/eV per cell) = 6.603
- M_tot (μB/cell) = 4.00
- formation energy without anion corrections (eV per formula unit) = -6.3
- space-group type = No. 15

Lattice parameters (Å, degrees): 8.224 8.224 11.996 108.99 108.99 89.46
Positions (direct):
Na  0.095  0.905  0.750
Na  0.905  0.095  0.250
U  0.000  0.500  0.000
U  0.500  0.000  0.500
I  0.199  0.598  0.860
I  0.200  0.206  0.509
I  0.206  0.200  0.009
I  0.277  0.723  0.250
I  0.402  0.801  0.640
I  0.598  0.199  0.360
I  0.723  0.277  0.750
I  0.794  0.800  0.991
I  0.800  0.794  0.491
I  0.801  0.402  0.140

Material: Pr3Ho5O12
Method: DFT, PBE-GGA
State: relaxed

Output
- total DFT energy (no corrections) (eV/atom) = -8.20
- N(E_F) (states/eV per cell) = 0.000
- M_tot (μB/cell) = 0.00
- formation energy without anion corrections (eV per formula unit) = -67.3
- space-group type = No. 230

Lattice parameters (Å, degrees): 11.847 11.847 11.847 109.47 109.47 109.47
Positions (direct):
Pr  0.125  0.250  0.375
Pr  0.125  0.375  0.750
Pr  0.250  0.375  0.125
Pr  0.250  0.875  0.625
Pr  0.375  0.125  0.250
Pr  0.375  0.750  0.125
Pr  0.625  0.250  0.875
Pr  0.625  0.875  0.750
Pr  0.750  0.125  0.375
Pr  0.750  0.625  0.875
Pr  0.875  0.625  0.250
Pr  0.875  0.750  0.625
Ho  0.000  0.000  0.000
Ho  0.000  0.000  0.500
Ho  0.000  0.500  0.000
Ho  0.000  0.500  0.500
Ho  0.125  0.750  0.875
Ho  0.125  0.875  0.250
Ho  0.250  0.125  0.875
Ho  0.250  0.625  0.375
Ho  0.375  0.250  0.625
Ho  0.375  0.625  0.750
Ho  0.500  0.000  0.000
Ho  0.500  0.000  0.500
Ho  0.500  0.500  0.000
Ho  0.500  0.500  0.500
Ho  0.625  0.375  0.250
Ho  0.625  0.750  0.375
Ho  0.750  0.375  0.625
Ho  0.750  0.875  0.125
Ho  0.875  0.125  0.750
Ho  0.875  0.250  0.125
O  0.039  0.214  0.129
O  0.039  0.325  0.910
O  0.085  0.714  0.675
O  0.085  0.871  0.410
O  0.090  0.629  0.415
O  0.090  0.961  0.675
O  0.129  0.039  0.214
O  0.129  0.590  0.915
O  0.175  0.214  0.585
O  0.175  0.461  0.590
O  0.214  0.129  0.039
O  0.214  0.585  0.175
O  0.286  0.325  0.915
O  0.286  0.461  0.371
O  0.325  0.910  0.039
O  0.325  0.915  0.286
O  0.371  0.286  0.461
O  0.371  0.585  0.910
O  0.410  0.085  0.871
O  0.410  0.825  0.539
O  0.415  0.090  0.629
O  0.415  0.825  0.786
O  0.461  0.371  0.286
O  0.461  0.590  0.175
O  0.539  0.410  0.825
O  0.539  0.629  0.714
O  0.585  0.175  0.214
O  0.585  0.910  0.371
O  0.590  0.175  0.461
O  0.590  0.915  0.129
O  0.629  0.415  0.090
O  0.629  0.714  0.539
O  0.675  0.085  0.714
O  0.675  0.090  0.961
O  0.714  0.539  0.629
O  0.714  0.675  0.085
O  0.786  0.415  0.825
O  0.786  0.871  0.961
O  0.825  0.539  0.410
O  0.825  0.786  0.415
O  0.871  0.410  0.085
O  0.871  0.961  0.786
O  0.910  0.039  0.325
O  0.910  0.371  0.585
O  0.915  0.129  0.590
O  0.915  0.286  0.325
O  0.961  0.675  0.090
O  0.961  0.786  0.871

Material: BeRe2Hg
Method: DFT, PBE-GGA
State: relaxed

Output
- total DFT energy (no corrections) (eV/atom) = -6.41
- energy above the lowest structure with this stoichiometry (eV/f.u.) = 2.28
- ΔE_f (meV/atom) = 816
- N(E_F) (states/eV per cell) = 5.105
- M_tot (μB/cell) = 0.02
- space-group type = No. 123

Lattice parameters (Å, degrees): 3.749 3.749 4.336 90.00 90.00 90.00
Positions (direct):
Be  0.000  0.000  0.000
Re  0.000  0.500  0.500
Re  0.500  0.000  0.500
Hg  0.500  0.500  0.000

Material: LaTb4
Method: DFT, PBE-GGA
State: relaxed

Output
- total DFT energy (no corrections) (eV/atom) = -4.03
- energy above the lowest structure with this stoichiometry (eV/f.u.) = 3.23
- ΔE_f (meV/atom) = 661
- N(E_F) (states/eV per cell) = 7.853
- M_tot (μB/cell) = 0.00
- space-group type = No. 221

Lattice parameters (Å, degrees): 5.652 5.652 5.652 90.00 90.00 90.00
Positions (direct):
La  0.000  0.000  0.000
Tb  0.000  0.000  0.500
Tb  0.000  0.500  0.000
Tb  0.500  0.000  0.000
Tb  0.500  0.500  0.500

Material: Ba3Cu5H12
Method: DFT, PBE-GGA
State: relaxed

Output
- total DFT energy (no corrections) (eV/atom) = -3.36
- N(E_F) (states/eV per cell) = 14.862
- M_tot (μB/cell) = 0.00
- space-group type = No. 230

Lattice parameters (Å, degrees): 10.867 10.867 10.867 109.47 109.47 109.47
Positions (direct):
Ba  0.125  0.250  0.375
Ba  0.125  0.375  0.750
Ba  0.250  0.375  0.125
Ba  0.250  0.875  0.625
Ba  0.375  0.125  0.250
Ba  0.375  0.750  0.125
Ba  0.625  0.250  0.875
Ba  0.625  0.875  0.750
Ba  0.750  0.125  0.375
Ba  0.750  0.625  0.875
Ba  0.875  0.625  0.250
Ba  0.875  0.750  0.625
Cu  0.000  0.000  0.000
Cu  0.000  0.000  0.500
Cu  0.000  0.500  0.000
Cu  0.000  0.500  0.500
Cu  0.125  0.750  0.875
Cu  0.125  0.875  0.250
Cu  0.250  0.125  0.875
Cu  0.250  0.625  0.375
Cu  0.375  0.250  0.625
Cu  0.375  0.625  0.750
Cu  0.500  0.000  0.000
Cu  0.500  0.000  0.500
Cu  0.500  0.500  0.000
Cu  0.500  0.500  0.500
Cu  0.625  0.375  0.250
Cu  0.625  0.750  0.375
Cu  0.750  0.375  0.625
Cu  0.750  0.875  0.125
Cu  0.875  0.125  0.750
Cu  0.875  0.250  0.125
H  0.012  0.686  0.106
H  0.012  0.826  0.905
H  0.079  0.674  0.686
H  0.079  0.905  0.394
H  0.095  0.606  0.921
H  0.095  0.988  0.174
H  0.106  0.012  0.686
H  0.106  0.595  0.421
H  0.174  0.095  0.988
H  0.174  0.579  0.186
H  0.186  0.174  0.579
H  0.186  0.512  0.606
H  0.314  0.894  0.988
H  0.314  0.921  0.326
H  0.326  0.314  0.921
H  0.326  0.512  0.405
H  0.394  0.079  0.905
H  0.394  0.814  0.488
H  0.405  0.326  0.512
H  0.405  0.579  0.894
H  0.421  0.106  0.595
H  0.421  0.814  0.826
H  0.488  0.394  0.814
H  0.488  0.595  0.674
H  0.512  0.405  0.326
H  0.512  0.606  0.186
H  0.579  0.186  0.174
H  0.579  0.894  0.405
H  0.595  0.421  0.106
H  0.595  0.674  0.488
H  0.606  0.186  0.512
H  0.606  0.921  0.095
H  0.674  0.488  0.595
H  0.674  0.686  0.079
H  0.686  0.079  0.674
H  0.686  0.106  0.012
H  0.814  0.488  0.394
H  0.814  0.826  0.421
H  0.826  0.421  0.814
H  0.826  0.905  0.012
H  0.894  0.405  0.579
H  0.894  0.988  0.314
H  0.905  0.012  0.826
H  0.905  0.394  0.079
H  0.921  0.095  0.606
H  0.921  0.326  0.314
H  0.988  0.174  0.095
H  0.988  0.314  0.894

Material: LaMgCl2
Method: DFT, PBE-GGA
State: relaxed

Output
- total DFT energy (no corrections) (eV/atom) = -3.75
- energy above the lowest structure with this stoichiometry (eV/f.u.) = 0.57
- N(E_F) (states/eV per cell) = 1.731
- M_tot (μB/cell) = 0.00
- formation energy without anion corrections (eV per formula unit) = -4.8
- space-group type = No. 10

Lattice parameters (Å, degrees): 3.651 4.744 6.285 90.00 92.49 90.00
Positions (direct):
La  0.000  0.000  0.000
Mg  0.500  0.000  0.500
Cl  0.267  0.500  0.236
Cl  0.733  0.500  0.764

Material: Li3TbTm2Se6
Method: DFT, PBE-GGA
State: relaxed

Output
- total DFT energy (no corrections) (eV/atom) = -5.05
- N(E_F) (states/eV per cell) = 0.000
- M_tot (μB/cell) = 0.00
- formation energy without anion corrections (eV per formula unit) = -20.3
- space-group type = No. 12

Lattice parameters (Å, degrees): 7.002 7.002 6.897 99.74 99.74 120.00
Positions (direct):
Li  0.000  0.000  0.000
Li  0.333  0.667  0.000
Li  0.667  0.333  0.000
Tb  0.500  0.500  0.500
Tm  0.167  0.833  0.500
Tm  0.833  0.167  0.500
Se  0.079  0.416  0.249
Se  0.246  0.246  0.752
Se  0.416  0.079  0.249
Se  0.584  0.921  0.751
Se  0.754  0.754  0.248
Se  0.921  0.584  0.751

Material: Cs2MoS
Method: DFT, PBE-GGA
State: relaxed

Output
- total DFT energy (no corrections) (eV/atom) = -3.40
- N(E_F) (states/eV per cell) = 1.535
- M_tot (μB/cell) = 24.00
- formation energy without anion corrections (eV per formula unit) = 3.1
- space-group type = No. 225

Lattice parameters (Å, degrees): 8.582 8.582 8.582 90.00 90.00 90.00
Positions (direct):
Cs  0.250  0.250  0.250
Cs  0.250  0.250  0.750
Cs  0.250  0.750  0.250
Cs  0.250  0.750  0.750
Cs  0.750  0.250  0.250
Cs  0.750  0.250  0.750
Cs  0.750  0.750  0.250
Cs  0.750  0.750  0.750
Mo  0.000  0.000  0.000
Mo  0.000  0.500  0.500
Mo  0.500  0.000  0.500
Mo  0.500  0.500  0.000
S  0.000  0.000  0.500
S  0.000  0.500  0.000
S  0.500  0.000  0.000
S  0.500  0.500  0.500

Material: Ho3CoSi6Ni2
Method: DFT, PBE-GGA
State: relaxed

Output
- total DFT energy (no corrections) (eV/atom) = -5.78
- N(E_F) (states/eV per cell) = 8.277
- M_tot (μB/cell) = 0.00
- formation energy without anion corrections (eV per formula unit) = -4.4
- space-group type = No. 164

Lattice parameters (Å, degrees): 5.244 5.244 8.872 90.00 90.00 120.00
Positions (direct):
Ho  0.000  0.000  0.000
Ho  0.333  0.667  0.578
Ho  0.667  0.333  0.422
Co  0.000  0.000  0.500
Si  0.164  0.327  0.286
Si  0.164  0.836  0.286
Si  0.327  0.164  0.714
Si  0.673  0.836  0.286
Si  0.836  0.164  0.714
Si  0.836  0.673  0.714
Ni  0.333  0.667  0.092
Ni  0.667  0.333  0.908

Material: SrOsPt2
Method: DFT, PBE-GGA
State: relaxed

Output
- total DFT energy (no corrections) (eV/atom) = -5.81
- energy above the lowest structure with this stoichiometry (eV/f.u.) = 1.62
- ΔE_f (meV/atom) = 437
- N(E_F) (states/eV per cell) = 9.744
- M_tot (μB/cell) = 7.78
- space-group type = No. 225

Lattice parameters (Å, degrees): 6.731 6.731 6.731 90.00 90.00 90.00
Positions (direct):
Sr  0.000  0.000  0.000
Sr  0.000  0.500  0.500
Sr  0.500  0.000  0.500
Sr  0.500  0.500  0.000
Os  0.000  0.000  0.500
Os  0.000  0.500  0.000
Os  0.500  0.000  0.000
Os  0.500  0.500  0.500
Pt  0.250  0.250  0.250
Pt  0.250  0.250  0.750
Pt  0.250  0.750  0.250
Pt  0.250  0.750  0.750
Pt  0.750  0.250  0.250
Pt  0.750  0.250  0.750
Pt  0.750  0.750  0.250
Pt  0.750  0.750  0.750

Question: The highest M_tot belongs to which entry?
Answer: Cs2MoS

Question: Look up the total DFT energy (no corrections) of the fifth one.
Answer: -6.41 eV/atom

Question: Which of these has the highest total DFT energy (no corrections)?
Answer: Cd2NiAg